Record 1
A relaxed structure of GaBrOF2, computed with PBE.

Structure (POSCAR):
```
GaBrOF2
1.0
4.608 0.000 0.000
0.000 4.608 0.000
0.000 0.000 4.013
Ga Br O F
1 1 1 2
Cartesian
0.000 0.000 0.000
2.304 2.304 2.007
2.304 2.304 0.000
0.000 2.304 2.007
2.304 0.000 2.007
```

Properties
DOS(E_F)	2.27	states/eV/f.u.
crystal system	tetragonal
density	3.97	Mg/m³
space-group type	P4/mmm
total magnetic moment	0.0	μB/f.u.
total DFT energy (no corrections)	-3.09	eV per atom
raw formation energy	-406	meV/atom
polymorph energy (0 for the lowest one)	0.7071	eV/atom

***

Record 2
A relaxed structure of Ba3Sb, computed with PBE.

Structure (POSCAR):
```
Ba3Sb
1.0
4.926 0.000 0.000
-2.463 4.266 0.000
0.000 0.000 35.792
Ba Sb
9 3
Cartesian
0.000 0.000 0.000
0.000 0.000 7.855
0.000 0.000 27.937
0.000 2.844 16.006
0.000 2.844 23.862
0.000 2.844 31.717
2.463 1.422 4.076
2.463 1.422 11.931
2.463 1.422 19.786
0.000 0.000 17.896
0.000 2.844 5.965
2.463 1.422 29.827
```

Properties
DOS(E_F)	1.33	states/eV/f.u.
crystal system	trigonal
density	3.53	Mg/m³
space-group type	R-3m
total magnetic moment	1.1	μB/f.u.
total DFT energy (no corrections)	-2.99	eV per atom
raw formation energy	-512	meV/atom
polymorph energy (0 for the lowest one)	0.0923	eV/atom

***

Record 3
A relaxed structure of NaV2Co, computed with PBE.

Structure (POSCAR):
```
NaV2Co
1.0
3.609 0.000 0.000
0.000 3.609 0.000
0.000 0.000 18.654
Na V Co
4 8 4
Cartesian
0.000 0.000 0.000
0.000 1.804 4.663
1.804 0.000 13.990
1.804 1.804 9.327
0.799 0.902 11.659
0.902 2.603 16.322
0.902 2.810 6.995
1.006 0.902 2.332
2.603 2.706 2.332
2.706 0.799 6.995
2.706 1.006 16.322
2.810 2.706 11.659
0.000 0.000 9.327
0.000 1.804 13.990
1.804 0.000 4.663
1.804 1.804 0.000
```

Properties
DOS(E_F)	5.38	states/eV/f.u.
crystal system	tetragonal
density	5.03	Mg/m³
space-group type	I-42d
energy of formation from the pure elements	1.101	eV/atom
total magnetic moment	1.2	μB/f.u.
total DFT energy (no corrections)	-5.56	eV per atom
polymorph energy (0 for the lowest one)	0.2421	eV/atom

***

Record 4
A relaxed structure of BaNaPb3, computed with PBE.

Structure (POSCAR):
```
BaNaPb3
1.0
5.650 0.000 0.000
0.000 5.650 0.000
0.000 0.000 5.650
Ba Na Pb
1 1 3
Cartesian
0.000 0.000 0.000
2.825 2.825 2.825
0.000 2.825 2.825
2.825 0.000 2.825
2.825 2.825 0.000
```

Properties
DOS(E_F)	3.54	states/eV/f.u.
crystal system	cubic
density	7.20	Mg/m³
space-group type	Pm-3m
energy of formation from the pure elements	-0.001	eV/atom
total magnetic moment	0.0	μB/f.u.
total DFT energy (no corrections)	-2.87	eV per atom
polymorph energy (0 for the lowest one)	0.2888	eV/atom